A geometry-optimized Al2GaAu structure, computed with GGA-PBE.

## Properties
DFT formation energy = -0.1728 eV/atom

Cell: 4.2678 4.2678 14.4408 Å, 90.00 90.00 120.00°
Last column: nearest neighbours and their distance in Å.
Space group R3m (No. 160, hexagonal axes)
Inequivalent atoms, fractional coordinates:
Al 0.0000 0.0000 0.0000 x3  3 Au 2.65, 3 Ga 2.74, 1 Al 2.83
Al 0.0000 0.0000 0.1959 x3  3 Au 2.67, 1 Al 2.83, 3 Ga 2.96
Ga 0.0000 0.0000 0.4160 x3  1 Au 2.66, 6 Al 2.74-2.96
Au 0.0000 0.0000 0.5999 x3  6 Al 2.65-2.67, 1 Ga 2.66

A geometry-optimized AlGa2Au2 structure, computed with GGA-PBE.

## Properties
DFT formation energy = -0.0634 eV/atom

Cell: 3.8150 3.8150 12.9387 Å, 90.00 90.00 90.00°
Last column: nearest neighbours and their distance in Å.
Space group I4/mmm (No. 139)
Inequivalent atoms, fractional coordinates:
Al 0.0000 0.0000 0.0000 x2  8 Au 3.01
Ga 0.0000 0.5000 0.2500 x4  4 Au 2.69, 4 Ga 2.70
Au 0.0000 0.0000 0.3961 x4  4 Ga 2.69, 1 Au 2.69

A geometry-optimized Al2Ga2Au7 structure, computed with GGA-PBE.

## Properties
DFT formation energy = -0.1649 eV/atom

Cell: 5.5814 10.6929 7.1138 Å, 90.00 101.37 90.00°
Last column: nearest neighbours and their distance in Å.
Space group C2/m (No. 12)
Inequivalent atoms, fractional coordinates:
Al 0.0000 0.1986 0.0000 x4  6 Au 2.60-2.66
Ga 0.1738 0.0000 0.7164 x4  4 Au 2.61-2.72
Au 0.0000 0.5000 0.5000 x2  2 Ga 2.61, 2 Au 2.87
Au 0.1590 0.2541 0.6903 x8  2 Al 2.60-2.66, 1 Ga 2.72, 2 Au 2.79
Au 0.2180 0.5000 0.9002 x4  2 Al 2.66, 1 Ga 2.67, 1 Au 2.87

no.,total moment (μB per formula unit),electronic total energy (eV per atom)
1,0.00,-3.6201
2,0.00,-3.3336
3,0.00,-3.4813